This record from the Alexandria database describes a relaxed structure of MnPF. The functional is PBE with a Hubbard U.

Summary:
Its total energy is -6.153 eV per atom. The calculation puts the magnetic moment at 9.14 μB per cell. As for the calculated density: 3.33 g cm⁻³.

Geometry as POSCAR:
```
MnPF
1.0
-3.364 -1.798 -2.216
-3.592 -2.259 4.848
-1.568 3.365 1.160
F P Mn
2 2 2
direct
0.383 0.403 0.745
0.617 0.597 0.255
0.929 0.931 0.763
0.071 0.069 0.237
0.465 0.729 0.688
0.535 0.271 0.312
```